## Pr2PaNi3H12 (PBE-GGA)

Data for Pr2PaNi3H12 after structural relaxation.

raw total energy = -4.50 eV per atom
V = 9.33 Å³ per atom
size of the total moment = 0.50 μB per formula unit

a = 6.190 Å, b = 6.190 Å, c = 6.190 Å
α = 60.06°, β = 60.06°, γ = 60.06°
Element x y z (fractional)
H1 0.262 0.262 0.881
Pr1 0.612 0.612 0.612
Ni1 0.000 0.500 0.000
Ni2 0.000 0.000 0.500
H2 0.738 0.738 0.119
H3 0.881 0.262 0.262
H4 0.865 0.436 0.865
Ni3 0.500 0.000 0.000
H5 0.865 0.865 0.436
H6 0.135 0.135 0.564
H7 0.738 0.119 0.738
H8 0.135 0.564 0.135
Pr2 0.388 0.388 0.388
H9 0.262 0.881 0.262
H10 0.436 0.865 0.865
H11 0.564 0.135 0.135
Pa1 0.000 0.000 0.000
H12 0.119 0.738 0.738